<A>
## NdSmInPb (PBE)

Data for crystalline NdSmInPb at its relaxed geometry.

Unit cell a=5.081 b=5.081 c=9.043 alpha=90.00 beta=90.00 gamma=90.00
Space group I-4m2 (No. 119)
One atom of each set of equivalent atoms:
Nd 0.000 0.000 0.000 [2 per cell]
Sm 0.000 0.000 0.500 [2 per cell]
In 0.000 0.500 0.750 [2 per cell]
Pb 0.000 0.500 0.250 [2 per cell]

Summary:
* DOS at the Fermi energy: 0.857 states/eV/atom
* crystal system: tetragonal
* total magnetization: 0.0 Bohr magnetons per cell

<B>
## NdSmInPb (PBE)

Data for crystalline NdSmInPb at its relaxed geometry.

Unit cell a=7.791 b=7.791 c=7.791 alpha=90.00 beta=90.00 gamma=90.00
Space group F-43m (No. 216)
One atom of each set of equivalent atoms:
Nd 0.000 0.000 0.000 [4 per cell]
Sm 0.000 0.000 0.500 [4 per cell]
In 0.250 0.250 0.750 [4 per cell]
Pb 0.250 0.250 0.250 [4 per cell]

Summary:
* DOS at the Fermi energy: 0.627 states/eV/atom
* crystal system: cubic
* total magnetization: 0.0 Bohr magnetons per cell

The least stable of the structures above is <B>, whereas <A> is the most stable.